1.
Compound: PrNdY
Source: Alexandria via LeMat-Bulk
Functional: GGA-PBE
Structure: relaxed

a b c (Å): 3.655 3.655 8.961
angles (deg): 90.00 90.00 120.00
Fractional coordinates of all 3 atoms:
Pr  0.000  0.000  0.000
Nd  0.333  0.667  0.658
Y  0.667  0.333  0.330

## Properties
Calculated formation energy, eV/atom: 0.01
Polymorph energy (0 for the lowest one), eV per atom: 0.0012
DOS(E_F), states/eV/f.u.: 4.3
Electronic total energy, eV per atom: -5.32
Space-group type: P3m1 (156)
Crystal system: trigonal

2.
Compound: Pr2Nd4Y5
Source: Alexandria via LeMat-Bulk
Functional: GGA-PBE
Structure: relaxed

a b c (Å): 10.342 10.342 6.462
angles (deg): 94.15 94.15 33.17
Fractional coordinates of all 11 atoms:
Pr  0.098  0.098  0.041
Pr  0.902  0.902  0.959
Nd  0.194  0.194  0.572
Nd  0.466  0.466  0.233
Nd  0.534  0.534  0.767
Nd  0.806  0.806  0.428
Y  0.000  0.000  0.500
Y  0.286  0.286  0.108
Y  0.368  0.368  0.643
Y  0.632  0.632  0.357
Y  0.714  0.714  0.892

## Properties
Calculated formation energy, eV/atom: 0.09
Polymorph energy (0 for the lowest one), eV per atom: 0.0000
DOS(E_F), states/eV/f.u.: 20.9
Electronic total energy, eV per atom: -5.45
Space-group type: C2/m (12)
Crystal system: monoclinic

3.
Compound: Pr3NdY3
Source: Alexandria via LeMat-Bulk
Functional: GGA-PBE
Structure: relaxed

a b c (Å): 9.034 9.034 9.034
angles (deg): 58.55 58.55 58.55
Fractional coordinates of all 14 atoms:
Pr  0.067  0.571  0.218
Pr  0.218  0.067  0.571
Pr  0.429  0.782  0.933
Pr  0.571  0.218  0.067
Pr  0.782  0.933  0.429
Pr  0.933  0.429  0.782
Nd  0.156  0.156  0.156
Nd  0.844  0.844  0.844
Y  0.214  0.673  0.437
Y  0.327  0.563  0.786
Y  0.437  0.214  0.673
Y  0.563  0.786  0.327
Y  0.673  0.437  0.214
Y  0.786  0.327  0.563

## Properties
Calculated formation energy, eV/atom: 0.20
Polymorph energy (0 for the lowest one), eV per atom: 0.0000
DOS(E_F), states/eV/f.u.: 10.7
Electronic total energy, eV per atom: -5.30
Space-group type: R-3 (148)
Crystal system: trigonal

4.
Compound: Pr2Nd7Y2
Source: Alexandria via LeMat-Bulk
Functional: GGA-PBE
Structure: relaxed

a b c (Å): 8.254 8.254 6.167
angles (deg): 105.62 105.62 89.36
Fractional coordinates of all 11 atoms:
Pr  0.076  0.076  0.302
Pr  0.924  0.924  0.698
Nd  0.090  0.547  0.323
Nd  0.271  0.271  0.902
Nd  0.453  0.910  0.677
Nd  0.500  0.500  0.500
Nd  0.547  0.090  0.323
Nd  0.729  0.729  0.098
Nd  0.910  0.453  0.677
Y  0.284  0.716  0.000
Y  0.716  0.284  0.000

## Properties
Calculated formation energy, eV/atom: 0.13
Polymorph energy (0 for the lowest one), eV per atom: 0.0000
DOS(E_F), states/eV/f.u.: 15.7
Electronic total energy, eV per atom: -4.95
Space-group type: C2/m (12)
Crystal system: monoclinic